Entry 1:
Entry from Alexandria: a relaxed PmMgAl4 crystal (GGA-PBE).

Calculated formation energy ... -0.17 eV/atom

a = 4.391 Å, b = 12.506 Å, c = 4.426 Å
α = 90.00°, β = 90.00°, γ = 90.00°
Space group Cmmm (No. 65)
One atom of each set of equivalent atoms:
Pm  0.000  0.000  0.000
Mg  0.000  0.500  0.500
Al  0.000  0.176  0.500
Al  0.000  0.318  0.000

---

Entry 2:
Entry from Alexandria: a relaxed Dy7HoTl3 crystal (GGA-PBE).

Calculated formation energy ... 0.03 eV/atom

a = 10.816 Å, b = 11.680 Å, c = 5.970 Å
α = 90.00°, β = 115.02°, γ = 90.00°
Space group C2/m (No. 12)
One atom of each set of equivalent atoms:
Dy  0.000  0.000  0.000
Dy  0.173  0.500  0.156
Dy  0.183  0.289  0.702
Ho  0.000  0.000  0.500
Tl  0.000  0.265  0.000
Tl  0.000  0.500  0.500

---

Entry 3:
Entry from Alexandria: a relaxed Ce4SiRu2 crystal (GGA-PBE).

Formation energy without anion corrections ... -0.3716 eV/atom

a = 12.534 Å, b = 12.791 Å, c = 8.162 Å
α = 90.00°, β = 90.00°, γ = 90.00°
Space group Fdd2 (No. 43)
One atom of each set of equivalent atoms:
Ce  0.068  0.385  0.000
Ce  0.123  0.307  0.387
Si  0.000  0.000  0.820
Ru  0.059  0.299  0.676

---

Entry 4:
Entry from Alexandria: a relaxed Cu3Ag4Cl12 crystal (GGA-PBE).

Formation energy without anion corrections ... -0.4133 eV/atom

a = 9.724 Å, b = 9.724 Å, c = 9.724 Å
α = 90.00°, β = 90.00°, γ = 90.00°
Space group Im-3 (No. 204)
One atom of each set of equivalent atoms:
Cu  0.000  0.000  0.500
Ag  0.250  0.250  0.250
Cl  0.000  0.163  0.332

---

Entry 5:
Entry from Alexandria: a relaxed AgIrBr2 crystal (GGA-PBE).

Formation energy without anion corrections ... 0.5626 eV/atom

a = 3.474 Å, b = 6.130 Å, c = 8.835 Å
α = 90.00°, β = 90.00°, γ = 90.00°
Space group Cmmm (No. 65)
One atom of each set of equivalent atoms:
Ag  0.000  0.000  0.000
Ir  0.000  0.000  0.500
Br  0.000  0.500  0.298

---

Entry 6:
Entry from Alexandria: a relaxed Ce2YHg4 crystal (GGA-PBE).

Calculated formation energy ... -0.23 eV/atom

a = 5.2110 Å, b = 5.2110 Å, c = 26.5734 Å
α = 90.00°, β = 90.00°, γ = 120.00°
Space group R-3m (No. 166, hexagonal axes)
One atom of each set of equivalent atoms:
Ce  0.0000  0.0000  0.2453
Y  0.0000  0.0000  0.0000
Hg  0.0000  0.0000  0.1258
Hg  0.0000  0.0000  0.3724

---

Entry 7:
Entry from Alexandria: a relaxed Th2UCo crystal (GGA-PBE).

Calculated formation energy ... 0.48 eV/atom

a = 3.5418 Å, b = 3.5418 Å, c = 29.4020 Å
α = 90.00°, β = 90.00°, γ = 120.00°
Space group R-3m (No. 166, hexagonal axes)
One atom of each set of equivalent atoms:
Th  0.0000  0.0000  0.1069
U  0.0000  0.0000  0.0000
Co  0.0000  0.0000  0.5000

---

Entry 8:
Entry from Alexandria: a relaxed PrDyCo3 crystal (GGA-PBE).

Calculated formation energy ... -0.12 eV/atom

a = 4.211 Å, b = 23.301 Å, c = 3.927 Å
α = 90.00°, β = 90.00°, γ = 90.00°
Space group Cmcm (No. 63)
One atom of each set of equivalent atoms:
Pr  0.000  0.072  0.250
Dy  0.000  0.206  0.750
Co  0.000  0.330  0.750
Co  0.000  0.377  0.250
Co  0.000  0.476  0.250

---

- Number 8 is which compound?
  PrDyCo3

---

- What is the formula in the fifth record?
  AgIrBr2